Below is TePbS2N after structural relaxation, with properties calculated at the PBEsol level.

Summary:
- Formation energy (no corrections): 0.4678 eV/atom
- N(E_F): 2.14 states/eV per cell
- Space-group type: P4/mmm

Lattice parameters (Å, degrees): 3.963 5.134 5.134 90.00 90.00 90.00
Atoms (fractional coordinates):
S 0.000 0.500 0.000
S 0.000 0.000 0.500
Pb 0.500 0.500 0.500
N 0.500 0.000 0.000
Te 0.000 0.000 0.000